1.
DFT (PBE) results for a geometry-optimized ThSc3 structure.

abc: 5.4128 6.7386 6.7386
angles: 120.00 90.00 90.00
With the nearest neighbours (Å) after each atom.
Sites, in units of the cell vectors:
Th (0.7500, 0.6667, 0.3333)  12 Sc 3.35-3.37
Sc (0.2500, 0.3277, 0.1639)  8 Sc 3.31-3.43, 4 Th 3.35-3.37
Th (0.2500, 0.3333, 0.6667)  12 Sc 3.35-3.37
Sc (0.7500, 0.1639, 0.3277)  8 Sc 3.31-3.43, 4 Th 3.35-3.37
Sc (0.2500, 0.8361, 0.6723)  8 Sc 3.31-3.43, 4 Th 3.35-3.37
Sc (0.7500, 0.6723, 0.8361)  8 Sc 3.31-3.43, 4 Th 3.35-3.37
Sc (0.2500, 0.8361, 0.1639)  8 Sc 3.31-3.43, 4 Th 3.35-3.37
Sc (0.7500, 0.1639, 0.8361)  8 Sc 3.31-3.43, 4 Th 3.35-3.37

Properties
SG: P6_3/mmc
Total magnetic moment (μB/atom): 0.000
Calculated density (g/cm3): 5.7
DFT total energy (eV/atom): -6.55
Offset from the most stable computed form (meV per atom): 23
V (Å³/f.u.): 106.4
ΔH_f (0 K) (eV/f.u.): 0.2

2.
DFT (PBE) results for a geometry-optimized Th5Sc3 structure.

abc: 4.9576 6.9046 6.9046
angles: 90.29 90.00 90.00
With the nearest neighbours (Å) after each atom.
Sites, in units of the cell vectors:
Th (0.0000, 0.0000, 0.0000)  8 Th 3.45-3.49, 4 Sc 3.49
Sc (0.5000, 0.2505, 0.7495)  10 Th 3.43-3.49, 2 Sc 3.48
Th (0.5000, 0.2522, 0.2522)  6 Sc 3.43-3.47, 6 Th 3.48-3.49
Th (0.0000, 0.5000, 0.0000)  6 Th 3.45-3.48, 6 Sc 3.45-3.47
Th (0.0000, 0.0000, 0.5000)  6 Sc 3.45-3.47, 6 Th 3.45-3.48
Sc (0.0000, 0.5000, 0.5000)  8 Th 3.45-3.46, 4 Sc 3.48
Th (0.5000, 0.7478, 0.7478)  6 Sc 3.43-3.47, 6 Th 3.48-3.49
Sc (0.5000, 0.7495, 0.2505)  10 Th 3.43-3.49, 2 Sc 3.48

Properties
SG: Cmmm
Total magnetic moment (μB/atom): 0.000
Calculated density (g/cm3): 9.1
DFT total energy (eV/atom): -6.96
Offset from the most stable computed form (meV per atom): 10
V (Å³/f.u.): 236.3
ΔH_f (0 K) (eV/f.u.): 0.4

3.
DFT (PBE) results for a geometry-optimized ThSc3 structure.

abc: 3.4515 5.7551 6.2961
angles: 117.20 105.91 90.00
With the nearest neighbours (Å) after each atom.
Sites, in units of the cell vectors:
Sc (0.2454, 0.5901, 0.4907)  9 Sc 3.26-3.45, 3 Th 3.31-3.36
Th (0.0000, 0.9779, 0.0000)  10 Sc 3.25-3.46, 2 Th 3.45
Sc (0.7546, 0.0994, 0.5093)  9 Sc 3.26-3.45, 3 Th 3.31-3.36
Sc (0.5000, 0.4993, 0.0000)  4 Th 3.25-3.46, 8 Sc 3.26-3.45

Properties
SG: Imm2
Total magnetic moment (μB/atom): 0.000
Calculated density (g/cm3): 5.8
DFT total energy (eV/atom): -6.57
Offset from the most stable computed form (meV per atom): 5
V (Å³/f.u.): 105.8
ΔH_f (0 K) (eV/f.u.): 0.1

4.
DFT (PBE) results for a geometry-optimized Th2Sc13 structure.

abc: 6.2942 8.2623 8.1052
angles: 112.98 83.06 100.57
With the nearest neighbours (Å) after each atom.
Sites, in units of the cell vectors:
Sc (0.0807, 0.5884, 0.7110)  8 Sc 3.03-3.38, 2 Th 3.26-3.35
Sc (0.1915, 0.7733, 0.2282)  6 Sc 3.01-3.34, 2 Th 3.14-3.31
Sc (0.3449, 0.9741, 0.6584)  9 Sc 3.15-3.47, 3 Th 3.30-3.43
Sc (0.0000, 0.0000, 0.0000)  12 Sc 3.27-3.53, 2 Th 3.42
Sc (0.6551, 0.0259, 0.3416)  9 Sc 3.15-3.47, 3 Th 3.30-3.43
Th (0.1680, 0.1803, 0.4290)  11 Sc 3.14-3.43
Sc (0.2564, 0.3874, 0.9412)  10 Sc 3.12-3.49
Sc (0.5873, 0.4434, 0.6352)  7 Sc 3.03-3.36, 1 Th 3.26
Sc (0.8085, 0.2267, 0.7718)  6 Sc 3.01-3.34, 2 Th 3.14-3.31
Sc (0.9193, 0.4116, 0.2890)  8 Sc 3.03-3.38, 2 Th 3.26-3.35
Sc (0.4764, 0.8070, 0.9142)  6 Sc 2.91-3.16
Th (0.8320, 0.8197, 0.5710)  11 Sc 3.14-3.43
Sc (0.5236, 0.1930, 0.0858)  6 Sc 2.91-3.16
Sc (0.7436, 0.6126, 0.0588)  10 Sc 3.12-3.49
Sc (0.4127, 0.5566, 0.3648)  7 Sc 3.03-3.36, 1 Th 3.26

Properties
SG: P-1
Total magnetic moment (μB/atom): 0.000
Calculated density (g/cm3): 4.6
DFT total energy (eV/atom): -6.41
Offset from the most stable computed form (meV per atom): 0
V (Å³/f.u.): 380.9
ΔH_f (0 K) (eV/f.u.): 0.9

5.
DFT (PBE) results for a geometry-optimized Th6Sc5 structure.

abc: 9.8484 8.9416 5.1642
angles: 73.22 58.37 56.58
With the nearest neighbours (Å) after each atom.
Sites, in units of the cell vectors:
Sc (0.3431, 0.3138, 0.0000)  8 Th 3.36-3.49, 4 Sc 3.40-3.49
Sc (0.5000, 0.0000, 0.5000)  8 Th 3.29-3.54, 4 Sc 3.49
Sc (0.8046, 0.3908, 0.5000)  8 Th 3.23-3.42, 2 Sc 3.40
Th (0.7881, 0.0000, 0.7122)  6 Sc 3.36-3.54, 5 Th 3.46-3.55
Th (0.3735, 0.6918, 0.7806)  7 Sc 3.23-3.49, 2 Th 3.46
Th (0.6265, 0.3082, 0.2194)  7 Sc 3.23-3.49, 2 Th 3.46
Sc (0.1954, 0.6092, 0.5000)  8 Th 3.23-3.42, 2 Sc 3.40
Th (0.9347, 0.6918, 0.2194)  7 Sc 3.23-3.49, 2 Th 3.46
Th (0.2119, 0.0000, 0.2878)  6 Sc 3.36-3.54, 5 Th 3.46-3.55
Sc (0.6569, 0.6862, 0.0000)  8 Th 3.36-3.49, 4 Sc 3.40-3.49
Th (0.0653, 0.3082, 0.7806)  7 Sc 3.23-3.49, 2 Th 3.46

Properties
SG: Immm
Total magnetic moment (μB/atom): 0.000
Calculated density (g/cm3): 8.3
DFT total energy (eV/atom): -6.77
Offset from the most stable computed form (meV per atom): 0
V (Å³/f.u.): 323.2
ΔH_f (0 K) (eV/f.u.): 1.7

6.
DFT (PBE) results for a geometry-optimized Th2Sc5 structure.

abc: 5.3215 5.3215 8.1735
angles: 89.98 109.01 120.01
With the nearest neighbours (Å) after each atom.
Sites, in units of the cell vectors:
Th (0.5677, 0.7838, 0.8514)  8 Sc 3.25-3.39
Sc (0.0000, 0.5000, 0.0000)  2 Sc 3.20, 6 Th 3.27
Sc (0.7184, 0.3592, 0.5776)  7 Sc 3.20-3.29, 1 Th 3.25
Sc (0.1340, 0.0669, 0.7010)  4 Sc 3.04-3.21, 4 Th 3.28-3.39
Th (0.4323, 0.2162, 0.1486)  8 Sc 3.25-3.39
Sc (0.2816, 0.6408, 0.4224)  7 Sc 3.20-3.29, 1 Th 3.25
Sc (0.8660, 0.9331, 0.2990)  4 Sc 3.04-3.21, 4 Th 3.28-3.39

Properties
SG: R-3m
Total magnetic moment (μB/atom): 0.000
Calculated density (g/cm3): 6.2
DFT total energy (eV/atom): -6.58
Offset from the most stable computed form (meV per atom): 0
V (Å³/f.u.): 185.7
ΔH_f (0 K) (eV/f.u.): 0.4

7.
DFT (PBE) results for a geometry-optimized Th3Sc structure.

abc: 3.4991 6.0471 6.7677
angles: 116.54 104.98 90.00
With the nearest neighbours (Å) after each atom.
Sites, in units of the cell vectors:
Th (0.7439, 0.0710, 0.4877)  9 Th 3.46-3.60, 3 Sc 3.51-3.52
Th (0.5000, 0.4972, 0.0000)  4 Sc 3.40-3.59, 8 Th 3.46-3.60
Th (0.2561, 0.5833, 0.5123)  9 Th 3.46-3.60, 3 Sc 3.51-3.52
Sc (0.0000, 0.0151, 0.0000)  10 Th 3.40-3.59, 2 Sc 3.50

Properties
SG: Imm2
Total magnetic moment (μB/atom): 0.000
Calculated density (g/cm3): 10.0
DFT total energy (eV/atom): -7.08
Offset from the most stable computed form (meV per atom): 41
V (Å³/f.u.): 122.6
ΔH_f (0 K) (eV/f.u.): 0.3

8.
DFT (PBE) results for a geometry-optimized Th3Sc8 structure.

abc: 6.9979 6.9979 6.9979
angles: 100.51 100.51 100.51
With the nearest neighbours (Å) after each atom.
Sites, in units of the cell vectors:
Th (0.5000, 0.5000, 0.0000)  6 Sc 3.12-3.43
Sc (0.0178, 0.0175, 0.3121)  4 Sc 2.74-2.99
Sc (0.9822, 0.9825, 0.6879)  4 Sc 2.74-2.99
Th (0.0000, 0.5000, 0.5000)  6 Sc 3.12-3.43
Sc (0.0175, 0.3121, 0.0178)  4 Sc 2.74-2.99
Sc (0.9825, 0.6879, 0.9822)  4 Sc 2.74-2.99
Sc (0.3610, 0.3610, 0.3610)  4 Sc 2.69-2.99
Th (0.5000, 0.0000, 0.5000)  6 Sc 3.12-3.43
Sc (0.6879, 0.9822, 0.9825)  4 Sc 2.74-2.99
Sc (0.3121, 0.0178, 0.0175)  4 Sc 2.74-2.99
Sc (0.6390, 0.6390, 0.6390)  4 Sc 2.69-2.99

Properties
SG: R-3m
Total magnetic moment (μB/atom): 0.001
Calculated density (g/cm3): 5.4
DFT total energy (eV/atom): -5.98
V (Å³/f.u.): 322.9
ΔH_f (0 K) (eV/f.u.): 7.1